Entry 1:
A plane-wave DFT calculation with GGA-PBE was carried out for Sr2MgCd3Sn4 after structural relaxation.

```
data_Sr2MgCd3Sn4
_chemical_formula_sum 'Sr2 Mg1 Cd3 Sn4'
_cell_length_a 4.8255
_cell_length_b 4.8255
_cell_length_c 12.3999
_cell_angle_alpha 90.00
_cell_angle_beta 90.00
_cell_angle_gamma 90.00
_space_group_name_H-M_alt 'P -4 m 2'
_space_group_IT_number 115
_space_group_name_Hall 'P -4 -2'
loop_
_atom_site_label
_atom_site_type_symbol
_atom_site_fract_x
_atom_site_fract_y
_atom_site_fract_z
_atom_site_occupancy
Sr1 Sr 0.0000 0.5000 0.2477 1
Mg1 Mg 0.0000 0.0000 0.5000 1
Cd1 Cd 0.0000 0.5000 0.8612 1
Cd2 Cd 0.5000 0.5000 0.5000 1
Sn1 Sn 0.0000 0.0000 0.0000 1
Sn2 Sn 0.0000 0.5000 0.6364 1
Sn3 Sn 0.5000 0.5000 0.0000 1
```

Values from the calculation:
Formation energy from the elements ... -8.4 kcal/mol of atoms
VASP energy ... -0.10048 Ha/atom

=====

Entry 2:
A plane-wave DFT calculation with GGA-PBE was carried out for SrMg2Cd2Sn2 after structural relaxation.

```
data_SrMg2Cd2Sn2
_chemical_formula_sum 'Sr3 Mg6 Cd6 Sn6'
_cell_length_a 4.9644
_cell_length_b 4.9644
_cell_length_c 26.0792
_cell_angle_alpha 90.00
_cell_angle_beta 90.00
_cell_angle_gamma 120.00
_space_group_name_H-M_alt 'R -3 m'
_space_group_IT_number 166
_space_group_name_Hall '-R 3 2"'
loop_
_atom_site_label
_atom_site_type_symbol
_atom_site_fract_x
_atom_site_fract_y
_atom_site_fract_z
_atom_site_occupancy
Sr1 Sr 0.0000 0.0000 0.0000 1
Mg1 Mg 0.0000 0.0000 0.1406 1
Cd1 Cd 0.0000 0.0000 0.4420 1
Sn1 Sn 0.0000 0.0000 0.2569 1
```

Values from the calculation:
Formation energy from the elements ... -6.2 kcal/mol of atoms
VASP energy ... -0.08702 Ha/atom

=====

Entry 3:
A plane-wave DFT calculation with GGA-PBE was carried out for Sr2Mg4CdSn3 after structural relaxation.

```
data_Sr2Mg4CdSn3
_chemical_formula_sum 'Sr2 Mg4 Cd1 Sn3'
_cell_length_a 4.7310
_cell_length_b 4.7310
_cell_length_c 12.4883
_cell_angle_alpha 90.00
_cell_angle_beta 90.00
_cell_angle_gamma 90.00
_space_group_name_H-M_alt 'P -4 m 2'
_space_group_IT_number 115
_space_group_name_Hall 'P -4 -2'
loop_
_atom_site_label
_atom_site_type_symbol
_atom_site_fract_x
_atom_site_fract_y
_atom_site_fract_z
_atom_site_occupancy
Sr1 Sr 0.0000 0.5000 0.2494 1
Mg1 Mg 0.0000 0.0000 0.5000 1
Mg2 Mg 0.0000 0.5000 0.8645 1
Mg3 Mg 0.5000 0.5000 0.5000 1
Cd1 Cd 0.5000 0.5000 0.0000 1
Sn1 Sn 0.0000 0.0000 0.0000 1
Sn2 Sn 0.0000 0.5000 0.6398 1
```

Values from the calculation:
Formation energy from the elements ... -9.0 kcal/mol of atoms
VASP energy ... -0.09756 Ha/atom

=====

Entry 4:
A plane-wave DFT calculation with GGA-PBE was carried out for ThMgCdSn after structural relaxation.

```
data_ThMgCdSn
_chemical_formula_sum 'Th4 Mg4 Cd4 Sn4'
_cell_length_a 7.4683
_cell_length_b 7.4683
_cell_length_c 7.4683
_cell_angle_alpha 90.00
_cell_angle_beta 90.00
_cell_angle_gamma 90.00
_space_group_name_H-M_alt 'F -4 3 m'
_space_group_IT_number 216
_space_group_name_Hall 'F -4 2 3'
loop_
_atom_site_label
_atom_site_type_symbol
_atom_site_fract_x
_atom_site_fract_y
_atom_site_fract_z
_atom_site_occupancy
Th1 Th 0.0000 0.0000 0.0000 1
Mg1 Mg 0.0000 0.0000 0.5000 1
Cd1 Cd 0.2500 0.2500 0.2500 1
Sn1 Sn 0.2500 0.2500 0.7500 1
```

Values from the calculation:
Formation energy from the elements ... -4.2 kcal/mol of atoms
Polymorph energy (0 for the lowest one) ... 128 meV/atom
VASP energy ... -0.13466 Ha/atom

=====

Entry 5:
A plane-wave DFT calculation with GGA-PBE was carried out for ThMgCdSn after structural relaxation.

```
data_ThMgCdSn
_chemical_formula_sum 'Th1 Mg1 Cd1 Sn1'
_cell_length_a 4.5278
_cell_length_b 4.6524
_cell_length_c 4.9590
_cell_angle_alpha 90.00
_cell_angle_beta 90.00
_cell_angle_gamma 90.00
_space_group_name_H-M_alt 'P m m m'
_space_group_IT_number 47
_space_group_name_Hall '-P 2 2'
loop_
_atom_site_label
_atom_site_type_symbol
_atom_site_fract_x
_atom_site_fract_y
_atom_site_fract_z
_atom_site_occupancy
Th1 Th 0.0000 0.0000 0.0000 1
Mg1 Mg 0.0000 0.5000 0.5000 1
Cd1 Cd 0.5000 0.0000 0.5000 1
Sn1 Sn 0.5000 0.5000 0.0000 1
```

Values from the calculation:
Formation energy from the elements ... -7.1 kcal/mol of atoms
Polymorph energy (0 for the lowest one) ... 0 meV/atom
VASP energy ... -0.13938 Ha/atom

=====

Entry 6:
A plane-wave DFT calculation with GGA-PBE was carried out for MgTiCdSn2 after structural relaxation.

```
data_MgTiCdSn2
_chemical_formula_sum 'Mg1 Ti1 Cd1 Sn2'
_cell_length_a 5.2777
_cell_length_b 5.2777
_cell_length_c 5.3797
_cell_angle_alpha 90.00
_cell_angle_beta 90.00
_cell_angle_gamma 90.00
_space_group_name_H-M_alt 'P 4/m m m'
_space_group_IT_number 123
_space_group_name_Hall '-P 4 2'
loop_
_atom_site_label
_atom_site_type_symbol
_atom_site_fract_x
_atom_site_fract_y
_atom_site_fract_z
_atom_site_occupancy
Mg1 Mg 0.0000 0.0000 0.0000 1
Ti1 Ti 0.5000 0.5000 0.5000 1
Cd1 Cd 0.5000 0.5000 0.0000 1
Sn1 Sn 0.0000 0.5000 0.5000 1
```

Values from the calculation:
Formation energy from the elements ... 8.6 kcal/mol of atoms
VASP energy ... -0.12162 Ha/atom

=====

Entry 7:
A plane-wave DFT calculation with GGA-PBE was carried out for MgTl2CdSn2 after structural relaxation.

```
data_MgTl2CdSn2
_chemical_formula_sum 'Mg4 Tl8 Cd4 Sn8'
_cell_length_a 6.5144
_cell_length_b 15.8363
_cell_length_c 6.5704
_cell_angle_alpha 90.00
_cell_angle_beta 90.00
_cell_angle_gamma 90.00
_space_group_name_H-M_alt 'I b a m'
_space_group_IT_number 72
_space_group_name_Hall '-I 2 2c'
loop_
_atom_site_label
_atom_site_type_symbol
_atom_site_fract_x
_atom_site_fract_y
_atom_site_fract_z
_atom_site_occupancy
Mg1 Mg 0.0000 0.0000 0.2500 1
Tl1 Tl 0.2478 0.3269 0.0000 1
Cd1 Cd 0.0000 0.5000 0.2500 1
Sn1 Sn 0.2472 0.1246 0.0000 1
```

Values from the calculation:
Formation energy from the elements ... -0.2 kcal/mol of atoms
VASP energy ... -0.09375 Ha/atom

=====

Entry 8:
A plane-wave DFT calculation with GGA-PBE was carried out for MgTlCdSn after structural relaxation.

```
data_MgTlCdSn
_chemical_formula_sum 'Mg1 Tl1 Cd1 Sn1'
_cell_length_a 3.3536
_cell_length_b 3.3536
_cell_length_c 9.2015
_cell_angle_alpha 90.00
_cell_angle_beta 90.00
_cell_angle_gamma 90.00
_space_group_name_H-M_alt 'P 4 m m'
_space_group_IT_number 99
_space_group_name_Hall 'P 4 -2'
loop_
_atom_site_label
_atom_site_type_symbol
_atom_site_fract_x
_atom_site_fract_y
_atom_site_fract_z
_atom_site_occupancy
Mg1 Mg 0.0000 0.0000 0.0000 1
Tl1 Tl 0.0000 0.0000 0.5145 1
Cd1 Cd 0.5000 0.5000 0.7839 1
Sn1 Sn 0.5000 0.5000 0.2268 1
```

Values from the calculation:
Formation energy from the elements ... -0.6 kcal/mol of atoms
Polymorph energy (0 for the lowest one) ... 0 meV/atom
VASP energy ... -0.08253 Ha/atom

=====

Entry 9:
A plane-wave DFT calculation with GGA-PBE was carried out for MgTlCdSn after structural relaxation.

```
data_MgTlCdSn
_chemical_formula_sum 'Mg4 Tl4 Cd4 Sn4'
_cell_length_a 7.4380
_cell_length_b 7.4380
_cell_length_c 7.4380
_cell_angle_alpha 90.00
_cell_angle_beta 90.00
_cell_angle_gamma 90.00
_space_group_name_H-M_alt 'F -4 3 m'
_space_group_IT_number 216
_space_group_name_Hall 'F -4 2 3'
loop_
_atom_site_label
_atom_site_type_symbol
_atom_site_fract_x
_atom_site_fract_y
_atom_site_fract_z
_atom_site_occupancy
Mg1 Mg 0.0000 0.0000 0.0000 1
Tl1 Tl 0.2500 0.2500 0.2500 1
Cd1 Cd 0.0000 0.0000 0.5000 1
Sn1 Sn 0.2500 0.2500 0.7500 1
```

Values from the calculation:
Formation energy from the elements ... 0.4 kcal/mol of atoms
Polymorph energy (0 for the lowest one) ... 43 meV/atom
VASP energy ... -0.08096 Ha/atom

=====

Entry 10:
A plane-wave DFT calculation with GGA-PBE was carried out for Mg2CdSnW after structural relaxation.

```
data_Mg2CdSnW
_chemical_formula_sum 'Mg2 Cd1 Sn1 W1'
_cell_length_a 4.9780
_cell_length_b 4.9780
_cell_length_c 5.2198
_cell_angle_alpha 90.00
_cell_angle_beta 90.00
_cell_angle_gamma 90.00
_space_group_name_H-M_alt 'P 4/m m m'
_space_group_IT_number 123
_space_group_name_Hall '-P 4 2'
loop_
_atom_site_label
_atom_site_type_symbol
_atom_site_fract_x
_atom_site_fract_y
_atom_site_fract_z
_atom_site_occupancy
Mg1 Mg 0.0000 0.5000 0.0000 1
Cd1 Cd 0.0000 0.0000 0.0000 1
Sn1 Sn 0.5000 0.5000 0.5000 1
W1 W 0.0000 0.0000 0.5000 1
```

Values from the calculation:
Formation energy from the elements ... 26.5 kcal/mol of atoms
VASP energy ... -0.11264 Ha/atom

=====

Entry 11:
A plane-wave DFT calculation with GGA-PBE was carried out for YMgCdSn after structural relaxation.

```
data_YMgCdSn
_chemical_formula_sum 'Y4 Mg4 Cd4 Sn4'
_cell_length_a 7.3241
_cell_length_b 7.3241
_cell_length_c 7.3241
_cell_angle_alpha 90.00
_cell_angle_beta 90.00
_cell_angle_gamma 90.00
_space_group_name_H-M_alt 'F -4 3 m'
_space_group_IT_number 216
_space_group_name_Hall 'F -4 2 3'
loop_
_atom_site_label
_atom_site_type_symbol
_atom_site_fract_x
_atom_site_fract_y
_atom_site_fract_z
_atom_site_occupancy
Y1 Y 0.0000 0.0000 0.0000 1
Mg1 Mg 0.0000 0.0000 0.5000 1
Cd1 Cd 0.2500 0.2500 0.2500 1
Sn1 Sn 0.2500 0.2500 0.7500 1
```

Values from the calculation:
Formation energy from the elements ... -7.0 kcal/mol of atoms
Polymorph energy (0 for the lowest one) ... 151 meV/atom
VASP energy ... -0.13043 Ha/atom

=====

Entry 12:
A plane-wave DFT calculation with GGA-PBE was carried out for YMgCdSn after structural relaxation.

```
data_YMgCdSn
_chemical_formula_sum 'Y1 Mg1 Cd1 Sn1'
_cell_length_a 4.3949
_cell_length_b 4.5526
_cell_length_c 4.8088
_cell_angle_alpha 90.00
_cell_angle_beta 90.00
_cell_angle_gamma 90.00
_space_group_name_H-M_alt 'P m m m'
_space_group_IT_number 47
_space_group_name_Hall '-P 2 2'
loop_
_atom_site_label
_atom_site_type_symbol
_atom_site_fract_x
_atom_site_fract_y
_atom_site_fract_z
_atom_site_occupancy
Y1 Y 0.0000 0.0000 0.0000 1
Mg1 Mg 0.0000 0.5000 0.5000 1
Cd1 Cd 0.5000 0.0000 0.5000 1
Sn1 Sn 0.5000 0.5000 0.0000 1
```

Values from the calculation:
Formation energy from the elements ... -10.5 kcal/mol of atoms
Polymorph energy (0 for the lowest one) ... 0 meV/atom
VASP energy ... -0.13597 Ha/atom